#w
The following is a PBE calculation of crystalline CsHgI2Br at its relaxed geometry, from Alexandria via LeMat-Bulk.

D(E_F)   0.000 states/eV per atom

Cell lengths 8.3017, 6.9004, 9.1762 Å; angles 90.00, 104.18, 90.00 degrees
Closest atoms and distances in Å follow each position.
Space group P2_1/m (No. 11)
Asymmetric unit:
Cs1 0.2092 0.2500 0.3315 x2  3 Br 3.70-3.80, 4 I 3.99-4.11
Hg1 0.4074 0.2500 0.8390 x2  1 Br 2.67, 2 I 2.76-2.79
I1 0.0674 0.2500 0.7272 x2  1 Hg 2.76
I2 0.4096 0.7500 0.8621 x2  1 Hg 2.79
Br1 0.4072 0.7500 0.3608 x2  1 Hg 2.67

***

#x
The following is a PBE calculation of crystalline CsHgI2Br at its relaxed geometry, from Alexandria via LeMat-Bulk.

D(E_F)   0.252 states/eV per atom

Cell lengths 6.0398, 6.0398, 5.7673 Å; angles 90.00, 90.00, 90.00 degrees
Closest atoms and distances in Å follow each position.
Space group P4/mmm (No. 123)
Asymmetric unit:
Cs1 0.0000 0.0000 0.0000 x1  8 I 4.18, 4 Br 4.27
Hg1 0.5000 0.5000 0.5000 x1  2 Br 2.88, 4 I 3.02
I1 0.0000 0.5000 0.5000 x2  2 Hg 3.02
Br1 0.5000 0.5000 0.0000 x1  2 Hg 2.88

***

Most stable: #w. Least stable: #x.

***

#w
The following is a PBE calculation of crystalline Cs2NbHgBr6 at its relaxed geometry, from Alexandria via LeMat-Bulk.

D(E_F)   1.681 states/eV per atom

Cell lengths 11.9503, 11.9503, 11.9503 Å; angles 90.00, 90.00, 90.00 degrees
Closest atoms and distances in Å follow each position.
Space group Fm-3m (No. 225)
Asymmetric unit:
Cs1 0.2500 0.2500 0.2500 x8  12 Br 4.24
Nb1 0.0000 0.0000 0.0000 x4  6 Br 2.60
Hg1 0.0000 0.0000 0.5000 x4  6 Br 3.37
Br1 0.0000 0.0000 0.2177 x24  1 Nb 2.60

***

#x
The following is a PBE calculation of crystalline Cs2NbHgBr6 at its relaxed geometry, from Alexandria via LeMat-Bulk.

D(E_F)   0.682 states/eV per atom

Cell lengths 7.7271, 7.7271, 56.6625 Å; angles 90.00, 90.00, 120.00 degrees
Closest atoms and distances in Å follow each position.
Space group R-3m (No. 166, hexagonal axes)
Asymmetric unit:
Cs1 0.0000 0.0000 0.1409 x6  9 Br 3.79-3.87
Cs2 0.0000 0.0000 0.3076 x6  9 Br 3.78-3.87
Nb1 0.0000 0.0000 0.0000 x3  6 Br 2.60
Nb2 0.0000 0.0000 0.5000 x3  6 Br 2.61
Hg1 0.0000 0.0000 0.4157 x6  6 Br 3.89-3.93
Br1 0.0166 0.5083 0.1399 x18  1 Nb 2.61
Br2 0.0166 0.5083 0.6934 x18  1 Nb 2.60

***

Most stable: #x. Least stable: #w.

***

#w
The following is a PBE calculation of crystalline CsTlHgBr2 at its relaxed geometry, from Alexandria via LeMat-Bulk.

D(E_F)   0.021 states/eV per atom

Cell lengths 6.3138, 6.3138, 5.9036 Å; angles 90.00, 90.00, 90.00 degrees
Closest atoms and distances in Å follow each position.
Space group P4/mmm (No. 123)
Asymmetric unit:
Cs1 0.0000 0.0000 0.0000 x1  8 Br 4.32, 4 Hg 4.46
Tl1 0.5000 0.5000 0.5000 x1  2 Hg 2.95, 4 Br 3.16
Hg1 0.5000 0.5000 0.0000 x1  2 Tl 2.95
Br1 0.0000 0.5000 0.5000 x2  2 Tl 3.16

***

#x
The following is a PBE calculation of crystalline CsTlHgBr2 at its relaxed geometry, from Alexandria via LeMat-Bulk.

D(E_F)   0.000 states/eV per atom

Cell lengths 13.0830, 4.7637, 13.5502 Å; angles 90.00, 92.15, 90.00 degrees
Closest atoms and distances in Å follow each position.
Space group C2/m (No. 12)
Asymmetric unit:
Cs1 0.1333 0.0000 0.3702 x4  6 Br 3.56-3.77
Tl1 0.1382 0.5000 0.8174 x4  1 Br 3.00
Hg1 0.1244 0.0000 0.9954 x4  1 Hg 3.26, 2 Tl 3.40, 2 Br 3.47
Br1 0.0907 0.5000 0.1775 x4  1 Tl 3.00
Br2 0.1439 0.0000 0.6393 x4  2 Tl 3.39, 4 Cs 3.62-3.77

***

Most stable: #x. Least stable: #w.

***

#w
The following is a PBE calculation of crystalline Cs2ZrHgBr6 at its relaxed geometry, from Alexandria via LeMat-Bulk.

D(E_F)   0.000 states/eV per atom

Cell lengths 7.8203, 7.8203, 58.1660 Å; angles 90.00, 90.00, 120.00 degrees
Closest atoms and distances in Å follow each position.
Space group R-3m (No. 166, hexagonal axes)
Asymmetric unit:
Cs1 0.0000 0.0000 0.1418 x6  9 Br 3.80-3.91
Cs2 0.0000 0.0000 0.3088 x6  9 Br 3.78-3.91
Zr1 0.0000 0.0000 0.0000 x3  6 Br 2.66
Zr2 0.0000 0.0000 0.5000 x3  6 Br 2.66
Hg1 0.0000 0.0000 0.4154 x6  6 Br 4.00-4.02
Br1 0.0130 0.5065 0.1402 x18  1 Zr 2.66
Br2 0.0135 0.5067 0.6931 x18  1 Zr 2.66

***

#x
The following is a PBE calculation of crystalline Cs2ZrHgBr6 at its relaxed geometry, from Alexandria via LeMat-Bulk.

D(E_F)   0.000 states/eV per atom

Cell lengths 12.1305, 12.1305, 12.1305 Å; angles 90.00, 90.00, 90.00 degrees
Closest atoms and distances in Å follow each position.
Space group Fm-3m (No. 225)
Asymmetric unit:
Cs1 0.2500 0.2500 0.2500 x8  12 Br 4.31
Zr1 0.0000 0.0000 0.0000 x4  6 Br 2.65
Hg1 0.0000 0.0000 0.5000 x4  6 Br 3.41
Br1 0.0000 0.0000 0.2188 x24  1 Zr 2.65

***

Most stable: #w. Least stable: #x.

***

#w
The following is a PBE calculation of crystalline Cs2HoBr5 at its relaxed geometry, from Alexandria via LeMat-Bulk.

D(E_F)   0.000 states/eV per atom

Cell lengths 10.2444, 7.9256, 16.2327 Å; angles 90.00, 90.00, 90.00 degrees
Closest atoms and distances in Å follow each position.
Space group Pnma (No. 62)
Asymmetric unit:
Cs1 0.0324 0.2500 0.2065 x4  10 Br 3.70-4.00
Cs2 0.1704 0.7500 0.4147 x4  10 Br 3.76-4.15
Ho1 0.1825 0.7500 0.0630 x4  6 Br 2.72-2.91
Br1 0.0000 0.0000 0.0000 x4  2 Ho 2.91
Br2 0.0274 0.7500 0.2016 x4  1 Ho 2.76
Br3 0.1601 0.5043 0.6154 x8  1 Ho 2.72
Br4 0.2148 0.2500 0.4030 x4  1 Ho 2.80

***

#x
The following is a PBE calculation of crystalline Cs2HoBr5 at its relaxed geometry, from Alexandria via LeMat-Bulk.

D(E_F)   0.000 states/eV per atom

Cell lengths 5.7293, 18.5339, 15.8854 Å; angles 90.00, 90.00, 90.00 degrees
Closest atoms and distances in Å follow each position.
Space group Cmcm (No. 63)
Asymmetric unit:
Cs1 0.0000 0.1406 0.0678 x8  5 Br 3.55-3.72
Ho1 0.0000 0.1494 0.7500 x4  6 Br 2.74-2.87
Br1 0.0000 0.0452 0.6275 x8  1 Ho 2.74
Br2 0.0000 0.2565 0.6233 x8  1 Ho 2.83
Br3 0.0000 0.3381 0.2500 x4  2 Ho 2.87

***

Most stable: #w. Least stable: #x.

***

#w
The following is a PBE calculation of crystalline CsI2Br at its relaxed geometry, from Alexandria via LeMat-Bulk.

Cell lengths 5.1532, 5.1532, 9.1505 Å; angles 90.00, 90.00, 90.00 degrees
Closest atoms and distances in Å follow each position.
Space group P4/mmm (No. 123)
Asymmetric unit:
Cs1 0.0000 0.0000 0.0000 x1  4 Br 3.64
I1 0.5000 0.5000 0.3479 x2  1 I 2.78
Br1 0.5000 0.5000 0.0000 x1  2 I 3.18

***

#x
The following is a PBE calculation of crystalline CsI2Br at its relaxed geometry, from Alexandria via LeMat-Bulk.

D(E_F)   0.000 states/eV per atom

Cell lengths 11.1045, 6.9390, 10.0435 Å; angles 90.00, 90.00, 90.00 degrees
Closest atoms and distances in Å follow each position.
Space group Pnma (No. 62)
Asymmetric unit:
Cs1 0.1697 0.2500 0.0514 x4  4 Br 3.75-3.88, 4 I 4.10-4.11
I1 0.0667 0.7500 0.2639 x4  1 I 2.86
I2 0.1330 0.2500 0.5562 x4  1 I 2.86, 1 Br 2.86
Br1 0.1664 0.7500 0.8775 x4  1 I 2.86

***

Most stable: #x. Least stable: #w.